The following is a DFT calculation (PBE) of HoErNiRh after structural relaxation.

Summary:
Crystal system: cubic
Fermi-level density of states (states/eV/f.u.): 1.70
Mass density (g cm⁻³): 10.6
Calculated formation energy (kJ/mol of atoms): -64.3

```
data_HoErNiRh
_chemical_formula_sum 'Ho4 Er4 Ni4 Rh4'
_cell_length_a 6.7728
_cell_length_b 6.7728
_cell_length_c 6.7728
_cell_angle_alpha 90.00
_cell_angle_beta 90.00
_cell_angle_gamma 90.00
_symmetry_space_group_name_H-M 'F -4 3 m'
_symmetry_Int_Tables_number 216
_symmetry_space_group_name_Hall 'F -4 2 3'
loop_
_atom_site_label
_atom_site_type_symbol
_atom_site_fract_x
_atom_site_fract_y
_atom_site_fract_z
Ho1 Ho 0.0000 0.0000 0.0000
Er1 Er 0.0000 0.0000 0.5000
Ni1 Ni 0.2500 0.2500 0.7500
Rh1 Rh 0.2500 0.2500 0.2500
```